The following is a DFT calculation (PBE) of an optimized crystal structure of K3NpSb2Se6.

Lattice parameters (Å, degrees): 7.4062 7.4062 8.0664 98.80 98.80 120.00
Fractional coordinates of all 12 atoms:
K 0.0000 0.0000 0.0000
K 0.3319 0.6681 0.0000
K 0.6681 0.3319 0.0000
Np 0.5000 0.5000 0.5000
Sb 0.1665 0.8335 0.5000
Sb 0.8335 0.1665 0.5000
Se 0.0972 0.4313 0.2936
Se 0.2349 0.2349 0.7069
Se 0.4313 0.0972 0.2936
Se 0.5687 0.9028 0.7064
Se 0.7651 0.7651 0.2931
Se 0.9028 0.5687 0.7064

Properties
symmetry: No. 12
energy relative to the elements, uncorrected: -0.8755 eV per atom